# 1
DFT (PBE) results for a relaxed La8HgAs3I4 crystal.

Cell: 8.9053 8.9053 23.0466 Å, 90.00 90.00 120.00°
Space group R-3m (No. 166, hexagonal axes)
Asymmetric unit:
La: 0.0000 0.0000 0.2340
La: 0.0109 0.5055 0.7628
Hg: 0.0000 0.0000 0.5000
As: 0.0000 0.5000 0.5000
I: 0.0000 0.0000 0.0000
I: 0.0000 0.5000 0.0000

Computed properties:
calculated density	6.4	g/cm³
calculated total energy	-238.2	eV for the cell shown

# 2
DFT (PBE) results for a relaxed La4HgAsI2 crystal.

Cell: 7.920 4.438 8.003 Å, 90.00 108.28 90.00°
Space group P2/m (No. 10)
Asymmetric unit:
La: 0.225 0.000 0.213
La: 0.249 0.500 0.777
Hg: 0.500 0.000 0.000
As: 0.000 0.500 0.000
I: 0.000 0.000 0.500
I: 0.500 0.500 0.500

Computed properties:
calculated density	6.7	g/cm³
calculated total energy	-36.2	eV for the cell shown

# 3
DFT (PBE) results for a relaxed Li2HgAsI crystal.

Cell: 4.902 4.902 6.456 Å, 90.00 90.00 90.00°
Space group P4/mmm (No. 123)
Asymmetric unit:
Li: 0.000 0.500 0.000
Hg: 0.000 0.000 0.500
As: 0.500 0.500 0.500
I: 0.000 0.000 0.000

Computed properties:
calculated density	4.5	g/cm³
calculated total energy	-9.9	eV for the cell shown

# 4
DFT (PBE) results for a relaxed LiHg2AsI crystal.

Cell: 5.344 5.344 5.185 Å, 90.00 90.00 90.00°
Space group P4/mmm (No. 123)
Asymmetric unit:
Li: 0.000 0.000 0.000
Hg: 0.000 0.500 0.500
As: 0.000 0.000 0.500
I: 0.500 0.500 0.000

Computed properties:
calculated density	6.8	g/cm³
calculated total energy	-10.0	eV for the cell shown

# 5
DFT (PBE) results for a relaxed MgHgAsI6 crystal.

Cell: 7.437 12.879 7.283 Å, 90.00 90.13 90.00°
Space group C2 (No. 5)
Asymmetric unit:
Mg: 0.000 0.000 0.000
Hg: 0.000 0.666 0.500
As: 0.000 0.333 0.000
I: 0.141 0.169 0.770
I: 0.175 0.486 0.770
I: 0.182 0.845 0.770

Computed properties:
calculated density	5.1	g/cm³
calculated total energy	-38.7	eV for the cell shown

# 6
DFT (PBE) results for a relaxed HgAsI2N crystal.

Cell: 6.135 6.135 3.928 Å, 90.00 90.00 90.00°
Space group P4/mmm (No. 123)
Asymmetric unit:
Hg: 0.000 0.000 0.000
As: 0.500 0.500 0.500
I: 0.000 0.500 0.000
N: 0.000 0.000 0.500

Computed properties:
calculated density	6.1	g/cm³
calculated total energy	-9.7	eV for the cell shown